Entry 1:
Computed, not measured: a relaxed Tl2CrSb crystal at the PBE level of DFT.

Unit cell a=7.1834 b=7.1834 c=7.1834 alpha=153.56 beta=139.97 gamma=48.61
Fractional positions:
1 Tl 0.0000 0.0000 0.0000
2 Tl 0.6914 0.1914 0.5000
3 Cr 0.2095 0.7095 0.5000
4 Sb 0.3812 0.3812 0.0000

Results
Polymorph energy (0 for the lowest one) (meV per atom): 87.3
Formation energy from raw total energies (meV per atom): 325.7
Symmetry: Imm2


Entry 2:
Computed, not measured: a relaxed TlCrSb2 crystal at the PBE level of DFT.

Unit cell a=5.2480 b=5.2480 c=5.2480 alpha=60.00 beta=60.00 gamma=60.00
Fractional positions:
1 Tl 0.0000 0.0000 0.0000
2 Cr 0.2500 0.2500 0.2500
3 Sb 0.5000 0.5000 0.5000
4 Sb 0.7500 0.7500 0.7500

Results
Polymorph energy (0 for the lowest one) (meV per atom): 337.5
Formation energy from raw total energies (meV per atom): 480.5
Symmetry: F-43m